# Tl2Cu2Au PBE optimized geometry
data_Tl2Cu2Au
_cell_length_a 6.915
_cell_length_b 6.915
_cell_length_c 4.158
_cell_angle_alpha 90.00
_cell_angle_beta 90.00
_cell_angle_gamma 90.00
_symmetry_space_group_name_H-M 'P 4/m b m'
_symmetry_Int_Tables_number 127
_symmetry_space_group_name_Hall '-P 4 2ab'
loop_
_atom_site_label
_atom_site_type_symbol
_atom_site_fract_x
_atom_site_fract_y
_atom_site_fract_z
_atom_site_occupancy
Tl1 Tl 0.175 0.325 0.000 1
Cu1 Cu 0.129 0.629 0.500 1
Au1 Au 0.000 0.000 0.500 1
# - Raw total energy: -30.719 eV/cell
# - Size of the total moment: 0.00 μB per cell
# - Theoretical density: 12.24 g/cm³